[1]
Computed, not measured: Sr2Ga7Ag after structural relaxation at the PBE level of DFT. Values from VASP.

Structure (Quantum ESPRESSO input):
```
&SYSTEM
  ibrav = 0, nat = 10, ntyp = 3
/
ATOMIC_SPECIES
Ga 69.72 Ga.upf
Ag 107.87 Ag.upf
Sr 87.62 Sr.upf
ATOMIC_POSITIONS crystal
Ga 0.5000 0.5000 0.5000
Ag 0.5000 0.5000 0.0000
Ga 0.0000 0.0000 0.0000
Ga 0.5000 0.0000 0.3661
Sr 0.5000 0.0000 0.7478
Sr 0.0000 0.5000 0.2522
Ga 0.0000 0.5000 0.8653
Ga 0.0000 0.0000 0.5000
Ga 0.0000 0.5000 0.6339
Ga 0.5000 0.0000 0.1347
CELL_PARAMETERS angstrom
-0.3866 -3.0639 3.1859
-2.1105 -2.6820 -2.8354
9.6400 -4.3748 -3.0376
```

***

[2]
Computed, not measured: LiBiRh2 after structural relaxation at the PBE level of DFT. Values from VASP.

Structure (Quantum ESPRESSO input):
```
&SYSTEM
  ibrav = 0, nat = 4, ntyp = 3
/
ATOMIC_SPECIES
Rh 102.91 Rh.upf
Li 6.94 Li.upf
Bi 208.98 Bi.upf
ATOMIC_POSITIONS crystal
Rh 0.0000 0.0000 0.2331
Li 0.5000 0.5000 0.0000
Rh 0.0000 0.0000 0.7669
Bi 0.5000 0.5000 0.5000
CELL_PARAMETERS angstrom
-3.1820 0.3861 -0.8020
-0.2833 -3.2616 -0.4462
-1.5312 -0.6550 5.7604
```

## Properties
- relative energy among the computed polymorphs (meV per atom) = 213

***

[3]
Computed, not measured: LaCdSn3 after structural relaxation at the PBE level of DFT. Values from VASP.

Structure (Quantum ESPRESSO input):
```
&SYSTEM
  ibrav = 0, nat = 20, ntyp = 3
/
ATOMIC_SPECIES
Sn 118.71 Sn.upf
La 138.91 La.upf
Cd 112.41 Cd.upf
ATOMIC_POSITIONS crystal
Sn 0.5000 0.2500 0.5002
Sn 0.7500 0.3059 0.9209
La 0.7500 0.5055 0.6900
La 0.2500 0.4945 0.3100
Cd 0.0000 0.2500 0.1122
Sn 0.5000 0.7500 0.4998
Sn 0.7500 0.5093 0.2648
Sn 0.0000 0.2500 0.5002
La 0.7500 0.0055 0.3100
Cd 0.5000 0.7500 0.8878
Cd 0.0000 0.7500 0.8878
Sn 0.2500 0.1941 0.9209
Sn 0.7500 0.0093 0.7352
Sn 0.2500 0.4907 0.7352
Sn 0.2500 0.6941 0.0791
La 0.2500 0.9945 0.6900
Sn 0.2500 0.9907 0.2648
Sn 0.7500 0.8059 0.0791
Cd 0.5000 0.2500 0.1122
Sn 0.0000 0.7500 0.4998
CELL_PARAMETERS angstrom
-0.2580 6.3731 1.0235
-5.8555 -0.6527 2.5884
5.5291 -1.7154 12.0751
```

## Properties
- relative energy among the computed polymorphs (meV per atom) = 0

***

[4]
Computed, not measured: LaSm2HoTl2 after structural relaxation at the PBE level of DFT. Values from VASP.

Structure (Quantum ESPRESSO input):
```
&SYSTEM
  ibrav = 0, nat = 12, ntyp = 4
/
ATOMIC_SPECIES
Ho 164.93 Ho.upf
Tl 204.38 Tl.upf
Sm 150.36 Sm.upf
La 138.91 La.upf
ATOMIC_POSITIONS crystal
Ho 0.5000 0.1798 0.6929
Tl 0.5000 0.2245 0.3659
Ho 0.5000 0.6798 0.3071
Sm 0.5000 0.0525 0.0461
Sm 0.0000 0.8336 0.8192
Sm 0.5000 0.5525 0.9539
La 0.0000 0.9578 0.4561
Tl 0.0000 0.2973 0.8620
Tl 0.0000 0.7973 0.1380
Sm 0.0000 0.3336 0.1808
Tl 0.5000 0.7245 0.6341
La 0.0000 0.4578 0.5439
CELL_PARAMETERS angstrom
5.2329 0.0000 0.0000
0.0000 6.9104 0.0000
0.0000 0.0000 10.2309
```

***

Results for volume: 21.7 16.4 27.8 30.8 (in A^3/atom, following the order of the records).
Results for formation energy: -410 -77 -369 -270 (in meV per atom, following the order of the records).